The following is a PBE calculation of a relaxed Hf3ZrFe crystal, from Alexandria.

Computed properties:
- Raw total energy: -9.2764 eV per atom
- Space group: P6_3/mmc, No. 194
- Energy relative to the elements: 0.098 eV/atom
- E above lowest polymorph: 0.0 meV/atom

Cell lengths 6.6544, 6.6544, 5.4724 Å; angles 90.00, 90.00, 120.00 degrees
Closest atoms and distances in Å follow each position.
Element x y z (fractional)
1 Hf 0.1795 0.3591 0.2500  2 Fe 2.48
2 Hf 0.1795 0.8205 0.2500  2 Fe 2.48
3 Hf 0.3591 0.1795 0.7500  2 Fe 2.48
4 Hf 0.6409 0.8205 0.2500  2 Fe 2.48
5 Hf 0.8205 0.1795 0.7500  2 Fe 2.48
6 Hf 0.8205 0.6409 0.7500  2 Fe 2.48
7 Zr 0.3333 0.6667 0.7500  12 Hf 3.26-3.33
8 Zr 0.6667 0.3333 0.2500  12 Hf 3.26-3.33
9 Fe 0.0000 0.0000 0.0000  6 Hf 2.48, 2 Fe 2.74
10 Fe 0.0000 0.0000 0.5000  6 Hf 2.48, 2 Fe 2.74